## CaPCl2O (PBE)

Data for a relaxed structure of CaPCl2O.

Structure (POSCAR):
```
CaPCl2O
1.0
5.548 0.000 0.000
0.000 5.548 0.000
0.000 0.000 3.424
Ca P Cl O
1 1 2 1
Cartesian
0.000 0.000 0.000
2.774 2.774 0.000
0.000 2.774 1.712
2.774 0.000 1.712
2.774 2.774 1.712
```

calculated density = 2.49 g/cm3
distance to the lowest polymorph of the same formula = 0 meV/atom
M_tot = 0.004 μB/cell
formation energy from raw total energies = -0.77 eV/atom